[1]
# GdCrB2 (PBE, optimized geometry)
# E_form   0.021 eV/atom
# Final energy   -36.977 eV/cell
# Symmetry   R-3m (166)
data_GdCrB2
_symmetry_space_group_name_H-M 'P 1'
_symmetry_Int_Tables_number 1
_symmetry_space_group_name_Hall 'P 1'
_cell_length_a 3.569
_cell_length_b 3.569
_cell_length_c 5.230
_cell_angle_alpha 70.05
_cell_angle_beta 70.05
_cell_angle_gamma 60.00
loop_
_atom_site_label
_atom_site_type_symbol
_atom_site_fract_x
_atom_site_fract_y
_atom_site_fract_z
Cr1 Cr 0.000 0.000 0.000
Gd1 Gd 0.500 0.500 0.500
B1 B 0.704 0.704 0.888
B2 B 0.296 0.296 0.112

***

[2]
# CrGeB2 (PBE, optimized geometry)
# E_form   0.900 eV/atom
# Final energy   -47.992 eV/cell
# Symmetry   I-42d (122)
data_CrGeB2
_symmetry_space_group_name_H-M 'P 1'
_symmetry_Int_Tables_number 1
_symmetry_space_group_name_Hall 'P 1'
_cell_length_a 4.981
_cell_length_b 4.981
_cell_length_c 5.478
_cell_angle_alpha 62.96
_cell_angle_beta 62.96
_cell_angle_gamma 90.00
loop_
_atom_site_label
_atom_site_type_symbol
_atom_site_fract_x
_atom_site_fract_y
_atom_site_fract_z
B1 B 0.875 0.858 0.750
Ge1 Ge 0.000 0.000 0.000
Cr1 Cr 0.250 0.750 0.500
B2 B 0.142 0.625 0.250
Cr2 Cr 0.500 0.500 0.000
Ge2 Ge 0.750 0.250 0.500
B3 B 0.375 0.392 0.750
B4 B 0.608 0.125 0.250

***

[3]
# CrGe2B (PBE, optimized geometry)
# E_form   0.744 eV/atom
# Final energy   -45.121 eV/cell
# Symmetry   I-42d (122)
data_CrGe2B
_symmetry_space_group_name_H-M 'P 1'
_symmetry_Int_Tables_number 1
_symmetry_space_group_name_Hall 'P 1'
_cell_length_a 6.419
_cell_length_b 6.419
_cell_length_c 5.218
_cell_angle_alpha 52.04
_cell_angle_beta 52.04
_cell_angle_gamma 90.00
loop_
_atom_site_label
_atom_site_type_symbol
_atom_site_fract_x
_atom_site_fract_y
_atom_site_fract_z
Ge1 Ge 0.190 0.625 0.250
Ge2 Ge 0.375 0.440 0.750
B1 B 0.250 0.750 0.500
Cr1 Cr 0.750 0.250 0.500
Ge3 Ge 0.560 0.125 0.250
Cr2 Cr 0.000 0.000 0.000
Ge4 Ge 0.875 0.810 0.750
B2 B 0.500 0.500 0.000

***

[4]
# HfCrGeB2 (PBE, optimized geometry)
# E_form   1.404 eV/atom
# Final energy   -30.528 eV/cell
# Symmetry   P4/mmm (123)
data_HfCrGeB2
_symmetry_space_group_name_H-M 'P 1'
_symmetry_Int_Tables_number 1
_symmetry_space_group_name_Hall 'P 1'
_cell_length_a 4.053
_cell_length_b 4.382
_cell_length_c 4.053
_cell_angle_alpha 90.00
_cell_angle_beta 90.00
_cell_angle_gamma 90.00
loop_
_atom_site_label
_atom_site_type_symbol
_atom_site_fract_x
_atom_site_fract_y
_atom_site_fract_z
B1 B 0.000 0.000 0.500
Hf1 Hf 0.500 0.500 0.500
Cr1 Cr 0.000 0.500 0.000
B2 B 0.500 0.000 0.000
Ge1 Ge 0.000 0.000 0.000

***

[5]
# CrGeBIr2 (PBE, optimized geometry)
# E_form   1.810 eV/atom
# Final energy   -29.590 eV/cell
# Symmetry   P4/mmm (123)
data_CrGeBIr2
_symmetry_space_group_name_H-M 'P 1'
_symmetry_Int_Tables_number 1
_symmetry_space_group_name_Hall 'P 1'
_cell_length_a 4.490
_cell_length_b 4.527
_cell_length_c 4.490
_cell_angle_alpha 90.00
_cell_angle_beta 90.00
_cell_angle_gamma 90.00
loop_
_atom_site_label
_atom_site_type_symbol
_atom_site_fract_x
_atom_site_fract_y
_atom_site_fract_z
B1 B 0.500 0.500 0.500
Ir1 Ir 0.000 0.000 0.500
Ge1 Ge 0.000 0.500 0.000
Cr1 Cr 0.000 0.000 0.000
Ir2 Ir 0.500 0.000 0.000

***

Q: final energy of number 3 (CrGe2B)?
A: -45.121 eV/cell